Below is crystalline Rb2Pu3FeO12 at its relaxed geometry, with properties calculated at the GGA+U level.

Cell lengths 7.444, 7.444, 7.444 Å; angles 63.58, 63.58, 63.58 degrees
Element x y z (fractional)
Rb (0.131, 0.131, 0.131)
Rb (0.869, 0.869, 0.869)
Pu (0.000, 0.500, 0.500)
Pu (0.500, 0.000, 0.500)
Pu (0.500, 0.500, 0.000)
Fe (0.500, 0.500, 0.500)
O (0.178, 0.178, 0.560)
O (0.178, 0.560, 0.178)
O (0.191, 0.560, 0.560)
O (0.440, 0.440, 0.809)
O (0.440, 0.809, 0.440)
O (0.440, 0.822, 0.822)
O (0.560, 0.178, 0.178)
O (0.560, 0.191, 0.560)
O (0.560, 0.560, 0.191)
O (0.809, 0.440, 0.440)
O (0.822, 0.440, 0.822)
O (0.822, 0.822, 0.440)

Results
VASP energy = -8.369 eV per atom
DOS at the Fermi energy = 7.3 states/eV/f.u.